Model 1:
Compound: SrWS2Cl
Source: Alexandria via LeMat-Bulk
Functional: PBE
Structure: optimized geometry

Computed properties:
DOS(E_F) = 1.06 states/eV/f.u.
density = 5.42 g cm⁻³
space-group type = P4/mmm

```
SrWS2Cl
1.0
-3.437 -2.271 2.229
-0.289 -3.045 -3.548
3.503 -3.030 2.315
Sr S W Cl
1 2 1 1
Direct
0.500 0.500 0.500
0.500 0.000 0.000
0.000 0.500 0.000
0.000 0.000 0.000
0.000 0.000 0.500
```



Model 2:
Compound: SrWS2Cl
Source: Alexandria via LeMat-Bulk
Functional: PBE
Structure: optimized geometry

Computed properties:
DOS(E_F) = 4.01 states/eV/f.u.
density = 3.75 g cm⁻³
space-group type = P4/mmm

```
SrWS2Cl
1.0
-0.397 -5.567 -0.288
2.834 0.047 -4.816
4.514 -0.459 2.652
W Sr S Cl
1 1 2 1
Direct
0.500 0.500 0.500
0.000 0.000 0.000
0.500 0.000 0.000
0.000 0.500 0.000
0.000 0.000 0.500
```



So which one is most stable? That would be model 1, about 163.6 kJ/mol of atoms below the next structure.



Model 1:
Compound: SrYSCl2
Source: Alexandria via LeMat-Bulk
Functional: PBE
Structure: optimized geometry

Computed properties:
DOS(E_F) = 2.98 states/eV/f.u.
density = 3.17 g cm⁻³
space-group type = P4/mmm

```
SrYSCl2
1.0
5.238 0.000 0.000
0.000 5.238 0.000
0.000 0.000 5.331
Cl Y S Sr
2 1 1 1
Direct
0.500 0.000 0.000
0.000 0.500 0.000
0.000 0.000 0.000
0.000 0.000 0.500
0.500 0.500 0.500
```



Model 2:
Compound: SrYSCl2
Source: Alexandria via LeMat-Bulk
Functional: PBE
Structure: optimized geometry

Computed properties:
DOS(E_F) = 3.72 states/eV/f.u.
density = 2.84 g cm⁻³
space-group type = P4/mmm

```
SrYSCl2
1.0
5.323 0.000 0.000
0.000 5.323 0.000
0.000 0.000 5.770
Cl Sr S Y
2 1 1 1
Direct
0.000 0.500 0.000
0.500 0.000 0.000
0.000 0.000 0.000
0.000 0.000 0.500
0.500 0.500 0.500
```



So which one is most stable? That would be model 1, about 55.7 kJ/mol of atoms below the next structure.



Model 1:
Compound: SrZnS2Cl
Source: Alexandria via LeMat-Bulk
Functional: PBE
Structure: optimized geometry

Computed properties:
DOS(E_F) = 2.43 states/eV/f.u.
density = 3.68 g cm⁻³
space-group type = P4/mmm

```
SrZnS2Cl
1.0
4.699 0.000 0.000
0.000 4.699 0.000
0.000 0.000 5.160
S Zn Sr Cl
2 1 1 1
Direct
0.500 0.000 0.000
0.000 0.500 0.000
0.000 0.000 0.000
0.500 0.500 0.500
0.000 0.000 0.500
```



Model 2:
Compound: SrZnS2Cl
Source: Alexandria via LeMat-Bulk
Functional: PBE
Structure: optimized geometry

Computed properties:
DOS(E_F) = 4.43 states/eV/f.u.
density = 2.16 g cm⁻³
space-group type = P4/mmm

```
SrZnS2Cl
1.0
-0.829 0.216 5.835
5.253 -2.547 0.841
2.415 5.034 0.157
Cl S Sr Zn
1 2 1 1
Direct
0.000 0.000 0.500
0.500 0.000 0.000
0.000 0.500 0.000
0.000 0.000 0.000
0.500 0.500 0.500
```



So which one is most stable? That would be model 1, about 86.6 kJ/mol of atoms below the next structure.